[1]
First-principles (PBE-GGA) data for a geometry-optimized Nd3Al5S12 structure, as listed in OQMD.

Results
**Crystal system**: cubic
**Symmetry**: Ia-3d
**Energy**: -5.591 eV per atom

abc: 13.075 13.075 13.075
angles: 109.47 109.47 109.47
Positions (direct):
Al 0.000 0.000 0.000
Al 0.500 0.000 0.000
Al 0.000 0.500 0.000
Al 0.500 0.500 0.000
Al 0.875 0.250 0.125
Al 0.750 0.875 0.125
Al 0.625 0.375 0.250
Al 0.125 0.875 0.250
Al 0.250 0.625 0.375
Al 0.625 0.750 0.375
Al 0.000 0.000 0.500
Al 0.500 0.000 0.500
Al 0.000 0.500 0.500
Al 0.500 0.500 0.500
Al 0.375 0.250 0.625
Al 0.750 0.375 0.625
Al 0.875 0.125 0.750
Al 0.375 0.625 0.750
Al 0.250 0.125 0.875
Al 0.125 0.750 0.875
Nd 0.250 0.375 0.125
Nd 0.375 0.750 0.125
Nd 0.375 0.125 0.250
Nd 0.875 0.625 0.250
Nd 0.750 0.125 0.375
Nd 0.125 0.250 0.375
Nd 0.875 0.750 0.625
Nd 0.250 0.875 0.625
Nd 0.125 0.375 0.750
Nd 0.625 0.875 0.750
Nd 0.625 0.250 0.875
Nd 0.750 0.625 0.875
S 0.203 0.118 0.025
S 0.322 0.907 0.025
S 0.882 0.407 0.085
S 0.703 0.678 0.085
S 0.618 0.415 0.093
S 0.975 0.678 0.093
S 0.025 0.203 0.118
S 0.593 0.915 0.118
S 0.475 0.593 0.178
S 0.203 0.585 0.178
S 0.118 0.025 0.203
S 0.585 0.178 0.203
S 0.322 0.915 0.297
S 0.475 0.382 0.297
S 0.907 0.025 0.322
S 0.915 0.297 0.322
S 0.297 0.475 0.382
S 0.585 0.907 0.382
S 0.085 0.882 0.407
S 0.822 0.525 0.407
S 0.093 0.618 0.415
S 0.822 0.797 0.415
S 0.593 0.178 0.475
S 0.382 0.297 0.475
S 0.618 0.703 0.525
S 0.407 0.822 0.525
S 0.178 0.203 0.585
S 0.907 0.382 0.585
S 0.178 0.475 0.593
S 0.915 0.118 0.593
S 0.415 0.093 0.618
S 0.703 0.525 0.618
S 0.085 0.703 0.678
S 0.093 0.975 0.678
S 0.525 0.618 0.703
S 0.678 0.085 0.703
S 0.415 0.822 0.797
S 0.882 0.975 0.797
S 0.797 0.415 0.822
S 0.525 0.407 0.822
S 0.407 0.085 0.882
S 0.975 0.797 0.882
S 0.025 0.322 0.907
S 0.382 0.585 0.907
S 0.297 0.322 0.915
S 0.118 0.593 0.915
S 0.678 0.093 0.975
S 0.797 0.882 0.975

[2]
First-principles (PBE-GGA) data for a geometry-optimized NdScAl6 structure, as listed in OQMD.

Results
**Crystal system**: hexagonal
**Symmetry**: P-6m2
**Energy**: -4.581 eV per atom

abc: 6.245 6.245 4.596
angles: 90.00 90.00 120.00
Positions (direct):
Al 0.189 0.377 0.000
Al 0.189 0.811 0.000
Al 0.623 0.811 0.000
Al 0.486 0.514 0.500
Al 0.027 0.514 0.500
Al 0.486 0.973 0.500
Nd 0.000 0.000 0.500
Sc 0.667 0.333 0.000

[3]
First-principles (PBE-GGA) data for a geometry-optimized NdScAl structure, as listed in OQMD.

Results
**Crystal system**: cubic
**Symmetry**: F-43m
**Energy**: -4.552 eV per atom

abc: 4.924 4.924 4.924
angles: 60.00 60.00 60.00
Positions (direct):
Al 0.250 0.250 0.250
Nd 0.750 0.750 0.750
Sc 0.000 0.000 0.000

[4]
First-principles (PBE-GGA) data for a geometry-optimized Nd3AlSe6 structure, as listed in OQMD.

Results
**Crystal system**: orthorhombic
**Symmetry**: Cmc2_1
**Energy**: -5.540 eV per atom

abc: 9.175 9.175 6.928
angles: 90.00 90.00 102.27
Positions (direct):
Al 0.700 0.300 0.475
Al 0.300 0.700 0.975
Nd 0.416 0.218 0.015
Nd 0.782 0.584 0.015
Nd 0.901 0.099 0.111
Nd 0.218 0.416 0.515
Nd 0.584 0.782 0.515
Nd 0.099 0.901 0.611
Se 0.599 0.071 0.307
Se 0.929 0.401 0.307
Se 0.192 0.132 0.313
Se 0.868 0.808 0.313
Se 0.282 0.718 0.321
Se 0.542 0.458 0.338
Se 0.071 0.599 0.807
Se 0.401 0.929 0.807
Se 0.132 0.192 0.813
Se 0.808 0.868 0.813
Se 0.718 0.282 0.821
Se 0.458 0.542 0.838

[5]
First-principles (PBE-GGA) data for a geometry-optimized Nd2AlSi structure, as listed in OQMD.

Results
**Crystal system**: monoclinic
**Symmetry**: P2_1/m
**Energy**: -5.274 eV per atom

abc: 6.085 4.078 8.806
angles: 90.00 108.27 90.00
Positions (direct):
Al 0.855 0.750 0.218
Al 0.145 0.250 0.782
Nd 0.294 0.750 0.074
Nd 0.220 0.250 0.432
Nd 0.780 0.750 0.568
Nd 0.706 0.250 0.926
Si 0.648 0.250 0.288
Si 0.352 0.750 0.712

[6]
First-principles (PBE-GGA) data for a geometry-optimized Nd2Al2Si structure, as listed in OQMD.

Results
**Crystal system**: orthorhombic
**Symmetry**: Cmcm
**Energy**: -5.089 eV per atom

abc: 13.448 13.448 4.473
angles: 90.00 90.00 162.71
Last column: magnetic moment on the atom in μB.
Positions (direct):
Al 0.976 0.024 0.250  0.00
Al 0.880 0.120 0.250  0.00
Al 0.120 0.880 0.750  0.00
Al 0.024 0.976 0.750  0.00
Nd 0.576 0.424 0.250  0.01
Nd 0.205 0.795 0.250  0.14
Nd 0.795 0.205 0.750  0.14
Nd 0.424 0.576 0.750  0.01
Si 0.324 0.676 0.250  -0.01
Si 0.676 0.324 0.750  -0.01

[7]
First-principles (PBE-GGA) data for a geometry-optimized NdAlSi2 structure, as listed in OQMD.

Results
**Crystal system**: trigonal
**Symmetry**: P-3m1
**Energy**: -5.320 eV per atom

abc: 4.171 4.171 11.082
angles: 90.00 90.00 120.00
Positions (direct):
Al 0.333 0.667 0.085
Al 0.667 0.333 0.915
Nd 0.000 0.000 0.318
Nd 0.000 0.000 0.682
Si 0.667 0.333 0.146
Si 0.333 0.667 0.494
Si 0.667 0.333 0.506
Si 0.333 0.667 0.854

[8]
First-principles (PBE-GGA) data for a geometry-optimized NdSmAl2 structure, as listed in OQMD.

Results
**Crystal system**: orthorhombic
**Symmetry**: Amm2
**Energy**: -4.597 eV per atom

abc: 4.261 6.167 6.167
angles: 42.84 90.00 90.00
Positions (direct):
Al 0.000 0.070 0.070
Al 0.500 0.932 0.932
Nd 0.000 0.358 0.358
Sm 0.500 0.641 0.641

[9]
First-principles (PBE-GGA) data for a geometry-optimized Nd2Al2Sn structure, as listed in OQMD.

Results
**Crystal system**: orthorhombic
**Symmetry**: Cmcm
**Energy**: -4.787 eV per atom

abc: 13.755 13.755 4.528
angles: 90.00 90.00 161.93
Positions (direct):
Al 0.615 0.385 0.250
Al 0.522 0.478 0.250
Al 0.478 0.522 0.750
Al 0.385 0.615 0.750
Nd 0.928 0.072 0.250
Nd 0.298 0.702 0.250
Nd 0.702 0.298 0.750
Nd 0.072 0.928 0.750
Sn 0.176 0.824 0.250
Sn 0.824 0.176 0.750

[10]
First-principles (PBE-GGA) data for a geometry-optimized Nd2AlSn structure, as listed in OQMD.

Results
**Crystal system**: orthorhombic
**Symmetry**: Amm2
**Energy**: -4.928 eV per atom

abc: 4.293 6.263 6.263
angles: 43.52 90.00 90.00
Last column: magnetic moment on the atom in μB.
Positions (direct):
Al 0.500 0.079 0.079  0.00
Nd 0.500 0.357 0.357  0.07
Nd 0.000 0.639 0.639  0.07
Sn 0.000 0.925 0.925  -0.01

[11]
First-principles (PBE-GGA) data for a geometry-optimized TbNdAl6 structure, as listed in OQMD.

Results
**Crystal system**: hexagonal
**Symmetry**: P-6m2
**Energy**: -4.423 eV per atom

abc: 6.420 6.420 4.592
angles: 90.00 90.00 120.00
Positions (direct):
Al 0.521 0.043 0.000
Al 0.521 0.479 0.000
Al 0.957 0.479 0.000
Al 0.381 0.191 0.500
Al 0.809 0.191 0.500
Al 0.809 0.619 0.500
Nd 0.000 0.000 0.000
Tb 0.333 0.667 0.500

[12]
First-principles (PBE-GGA) data for a geometry-optimized NdAlTc structure, as listed in OQMD.

Results
**Crystal system**: cubic
**Symmetry**: F-43m
**Energy**: -5.907 eV per atom

abc: 4.594 4.594 4.594
angles: 60.00 60.00 60.00
Positions (direct):
Al 0.000 0.000 0.000
Nd 0.250 0.250 0.250
Tc 0.750 0.750 0.750